Record 1
A plane-wave DFT calculation with PBE was carried out for an optimized crystal structure of Sm3Er4In.

The value obtained for the energy relative to the lowest polymorph listed for this composition is 9 meV per atom. Its crystal system is orthorhombic.

It has space group Pmn2_1 (No. 31), with a = 11.185 Å, b = 7.057 Å, c = 6.194 Å, α = 90.00°, β = 90.00° and γ = 90.00°. Symmetry generates all atoms from Sm at (0.000, 0.128, 0.000), Sm at (0.246, 0.384, 0.203), Er at (0.000, 0.371, 0.532), Er at (0.000, 0.873, 0.525), Er at (0.240, 0.874, 0.179) and In at (0.000, 0.629, 0.023).

Record 2
A plane-wave DFT calculation with PBE was carried out for an optimized crystal structure of Sm4ErIn4.

Its crystal system is tetragonal.

It has space group P4_2/nmc (No. 137, origin choice 2), with a = 7.183 Å, b = 7.183 Å, c = 10.834 Å, α = 90.00°, β = 90.00° and γ = 90.00°. Symmetry generates all atoms from Sm at (0.027, 0.250, 0.176), Er at (0.250, 0.750, 0.250) and In at (0.012, 0.250, 0.478).

Record 3
A plane-wave DFT calculation with PBE was carried out for an optimized crystal structure of Sm8ErIn6.

Its crystal system is trigonal.

It has space group R-3 (No. 148, hexagonal axes), with a = 9.1506 Å, b = 9.1506 Å, c = 19.7446 Å, α = 90.00°, β = 90.00° and γ = 120.00°. Symmetry generates all atoms from Sm at (0.0000, 0.0000, 0.1657), Sm at (0.0004, 0.3330, 0.7189), Er at (0.0000, 0.0000, 0.5000) and In at (0.9996, 0.3284, 0.5556).

Record 4
A plane-wave DFT calculation with PBE was carried out for an optimized crystal structure of SmEr12In3.

Its crystal system is tetragonal.

It has space group P4/mmm (No. 123), with a = 4.826 Å, b = 4.826 Å, c = 19.641 Å, α = 90.00°, β = 90.00° and γ = 90.00°. Symmetry generates all atoms from Sm at (0.000, 0.000, 0.000), Er at (0.000, 0.500, 0.131), Er at (0.000, 0.500, 0.377), Er at (0.500, 0.500, 0.000), Er at (0.500, 0.500, 0.256), Er at (0.500, 0.500, 0.500), In at (0.000, 0.000, 0.257) and In at (0.000, 0.000, 0.500).

Record 5
A plane-wave DFT calculation with PBE was carried out for an optimized crystal structure of Sm6Er3In.

Its crystal system is monoclinic.

It has space group P2_1/m (No. 11), with a = 12.855 Å, b = 3.517 Å, c = 14.346 Å, α = 90.00°, β = 100.50° and γ = 90.00°. Symmetry generates all atoms from Sm at (0.010, 0.250, 0.309), Sm at (0.158, 0.250, 0.884), Sm at (0.252, 0.750, 0.304), Sm at (0.270, 0.750, 0.714), Sm at (0.311, 0.750, 0.075), Sm at (0.387, 0.250, 0.534), Er at (0.079, 0.250, 0.097), Er at (0.129, 0.750, 0.501), Er at (0.428, 0.250, 0.895) and In at (0.468, 0.250, 0.273).

Record 6
A plane-wave DFT calculation with PBE was carried out for an optimized crystal structure of Sm3Er12In.

Its crystal system is tetragonal.

It has space group P4/mmm (No. 123), with a = 4.936 Å, b = 4.936 Å, c = 19.994 Å, α = 90.00°, β = 90.00° and γ = 90.00°. Symmetry generates all atoms from Sm at (0.000, 0.000, 0.000), Sm at (0.000, 0.000, 0.252), Er at (0.000, 0.500, 0.127), Er at (0.000, 0.500, 0.380), Er at (0.500, 0.500, 0.000), Er at (0.500, 0.500, 0.257), Er at (0.500, 0.500, 0.500) and In at (0.000, 0.000, 0.500).

Record 7
A plane-wave DFT calculation with PBE was carried out for an optimized crystal structure of Sm2ErIn4.

The value obtained for the energy relative to the lowest polymorph listed for this composition is 0 meV per atom. Its crystal system is tetragonal.

It has space group I4/mmm (No. 139), with a = 5.269 Å, b = 5.269 Å, c = 14.801 Å, α = 90.00°, β = 90.00° and γ = 90.00°. Symmetry generates all atoms from Sm at (0.000, 0.000, 0.249), Er at (0.000, 0.000, 0.500) and In at (0.000, 0.500, 0.111).

Record 8
A plane-wave DFT calculation with PBE was carried out for an optimized crystal structure of Sm5Er4In.

The value obtained for the energy relative to the lowest polymorph listed for this composition is 0 meV per atom. Its crystal system is tetragonal.

It has space group P4/mmm (No. 123), with a = 4.116 Å, b = 4.116 Å, c = 18.578 Å, α = 90.00°, β = 90.00° and γ = 90.00°. Symmetry generates all atoms from Sm at (0.000, 0.000, 0.000), Sm at (0.000, 0.000, 0.204), Sm at (0.000, 0.000, 0.409), Er at (0.500, 0.500, 0.102), Er at (0.500, 0.500, 0.304) and In at (0.500, 0.500, 0.500).

Number 1: formation enthalpy at 0 K -0.104 eV per atom, total energy -71.96 eV for the cell shown, magnetic moment 0.00 μB/atom. Number 2: formation enthalpy at 0 K -0.107 eV per atom, total energy -70.71 eV for the cell shown, magnetic moment 0.00 μB/atom. Number 3: formation enthalpy at 0 K -0.232 eV per atom, total energy -186.70 eV for the cell shown, magnetic moment 0.00 μB/atom. Number 4: formation enthalpy at 0 K -0.185 eV per atom, total energy -70.65 eV for the cell shown, magnetic moment 0.00 μB/atom. Number 5: formation enthalpy at 0 K -0.009 eV per atom, total energy -89.66 eV for the cell shown, magnetic moment 0.00 μB/atom. Number 6: formation enthalpy at 0 K -0.040 eV per atom, total energy -72.30 eV for the cell shown, magnetic moment 0.00 μB/atom. Number 7: formation enthalpy at 0 K -0.323 eV per atom, total energy -54.44 eV for the cell shown, magnetic moment 0.00 μB/atom. Number 8: formation enthalpy at 0 K -0.002 eV per atom, total energy -44.61 eV for the cell shown, magnetic moment 0.00 μB/atom.